## 1
A plane-wave DFT calculation with PBE was carried out for a geometry-optimized DyTiAu2 structure.

## Properties
- Density: 12.39 g cm⁻³
- Magnetic moment: 1.09 μB/cell

abc: 3.412 3.412 6.955
angles: 90.00 90.00 90.00
Sites, in units of the cell vectors:
Ti 0.500 0.500 0.000
Au 0.000 0.000 0.782
Au 0.000 0.000 0.218
Dy 0.500 0.500 0.500

## 2
A plane-wave DFT calculation with PBE was carried out for a geometry-optimized DyTiAu2 structure.

## Properties
- Density: 12.24 g cm⁻³
- Magnetic moment: 1.56 μB/cell

abc: 3.528 4.821 4.821
angles: 90.00 90.00 90.00
Sites, in units of the cell vectors:
Ti 0.500 0.000 0.000
Au 0.000 0.000 0.500
Au 0.000 0.500 0.000
Dy 0.500 0.500 0.500

Least stable: 2

## 1
A plane-wave DFT calculation with PBE was carried out for a geometry-optimized Dy5Tl2Au structure.

## Properties
- Density: 10.61 g cm⁻³
- Magnetic moment: 0.00 μB/cell

abc: 4.953 6.949 12.903
angles: 90.00 90.00 90.00
Sites, in units of the cell vectors:
Dy 0.000 0.000 0.500
Dy 0.000 0.500 0.000
Dy 0.000 0.879 0.220
Dy 0.000 0.121 0.780
Dy 0.000 0.621 0.720
Dy 0.000 0.379 0.280
Dy 0.500 0.674 0.405
Dy 0.500 0.326 0.595
Dy 0.500 0.826 0.905
Dy 0.500 0.174 0.095
Tl 0.500 0.621 0.154
Tl 0.500 0.379 0.846
Tl 0.500 0.879 0.654
Tl 0.500 0.121 0.346
Au 0.000 0.500 0.500
Au 0.000 0.000 0.000

## 2
A plane-wave DFT calculation with PBE was carried out for a geometry-optimized Dy5Tl2Au structure.

## Properties
- Density: 10.89 g cm⁻³
- Magnetic moment: 0.00 μB/cell

abc: 6.978 6.978 6.637
angles: 121.72 121.72 89.97
Sites, in units of the cell vectors:
Dy 0.723 0.231 0.954
Dy 0.231 0.231 0.954
Dy 0.723 0.723 0.954
Dy 0.231 0.723 0.954
Dy 0.737 0.737 0.473
Tl 0.230 0.730 0.459
Tl 0.730 0.230 0.459
Au 0.173 0.173 0.346

Least stable: 2

## 1
A plane-wave DFT calculation with PBE was carried out for a geometry-optimized DyTmTlAu structure.

## Properties
- Density: 12.19 g cm⁻³
- Magnetic moment: 0.00 μB/cell

abc: 5.207 5.207 5.207
angles: 60.00 60.00 60.00
Sites, in units of the cell vectors:
Tl 0.500 0.500 0.500
Tm 0.250 0.250 0.250
Au 0.000 0.000 0.000
Dy 0.750 0.750 0.750

## 2
A plane-wave DFT calculation with PBE was carried out for a geometry-optimized DyTmTlAu structure.

## Properties
- Density: 12.24 g cm⁻³
- Magnetic moment: 0.00 μB/cell

abc: 3.603 3.603 7.658
angles: 90.00 90.00 90.00
Sites, in units of the cell vectors:
Dy 0.500 0.500 0.125
Tm 0.500 0.500 0.584
Tl 0.000 0.000 0.852
Au 0.000 0.000 0.367

Least stable: 1